(1)
The following is a DFT calculation (SCAN) of Sr2LiTiCd at its PBEsol-relaxed geometry.

Results
Crystal system: tetragonal
Volume (Å³/atom): 38.8
Spin magnetization (μB per formula unit): 3.29
Formation energy from the elements (kJ/mol of atoms): 52.9
Theoretical density (g cm⁻³): 2.9

```
Sr2LiTiCd
1.0
6.0754 0.0000 0.0000
0.0000 6.0754 0.0000
0.0000 0.0000 5.2567
Sr Li Ti Cd
2 1 1 1
Direct
0.0000 0.5000 0.0000 Sr
0.5000 0.0000 0.0000 Sr
0.0000 0.0000 0.5000 Li
0.5000 0.5000 0.0000 Ti
0.5000 0.5000 0.5000 Cd
```


(2)
The following is a DFT calculation (SCAN) of SrLiTi2Cd at its PBEsol-relaxed geometry.

Results
Crystal system: tetragonal
Volume (Å³/atom): 22.6
Spin magnetization (μB per formula unit): 6.02
Formation energy from the elements (kJ/mol of atoms): 55.2
Theoretical density (g cm⁻³): 4.4

```
SrLiTi2Cd
1.0
4.8070 0.0000 0.0000
0.0000 4.8070 0.0000
0.0000 0.0000 4.9003
Sr Li Ti Cd
1 1 2 1
Direct
0.0000 0.0000 0.0000 Sr
0.5000 0.5000 0.5000 Li
0.0000 0.5000 0.5000 Ti
0.5000 0.0000 0.5000 Ti
0.5000 0.5000 0.0000 Cd
```


(3)
The following is a DFT calculation (SCAN) of LiTa2Cd at its PBEsol-relaxed geometry.

Results
Crystal system: tetragonal
Volume (Å³/atom): 17.8
Spin magnetization (μB per formula unit): 0.00
Formation energy from the elements (kJ/mol of atoms): 30.2
Theoretical density (g cm⁻³): 11.2

```
LiTa2Cd
1.0
3.3564 0.0000 0.0000
0.0000 3.3564 0.0000
0.0000 0.0000 6.3145
Li Ta Cd
1 2 1
Direct
0.0000 0.0000 0.0000 Li
0.0000 0.0000 0.4813 Ta
0.5000 0.5000 0.2730 Ta
0.5000 0.5000 0.7787 Cd
```